# Nb4Cd3PbO12 (PBE-GGA, optimized geometry)
data_Nb4Cd3PbO12
_chemical_formula_sum 'Nb4 Cd3 Pb1 O12'
_space_group_name_H-M_alt 'P 1'
_space_group_IT_number 1
_cell_length_a 6.884
_cell_length_b 6.884
_cell_length_c 6.884
_cell_angle_alpha 109.47
_cell_angle_beta 109.47
_cell_angle_gamma 109.47
loop_
_space_group_symop_operation_xyz
'x,y,z'
loop_
_atom_site_label
_atom_site_type_symbol
_atom_site_fract_x
_atom_site_fract_y
_atom_site_fract_z
Nb1 Nb 0.000 0.500 0.000
Nb2 Nb 0.500 0.500 0.500
Nb3 Nb 0.000 0.000 0.500
Nb4 Nb 0.500 0.000 0.000
O1 O 0.203 0.495 0.292
O2 O 0.292 0.203 0.495
O3 O 0.292 0.797 0.089
O4 O 0.495 0.292 0.203
O5 O 0.203 0.911 0.708
O6 O 0.797 0.089 0.292
O7 O 0.797 0.505 0.708
O8 O 0.911 0.708 0.203
O9 O 0.505 0.708 0.797
O10 O 0.708 0.203 0.911
O11 O 0.089 0.292 0.797
O12 O 0.708 0.797 0.505
Cd1 Cd 0.500 0.500 0.000
Cd2 Cd 0.500 0.000 0.500
Cd3 Cd 0.000 0.500 0.500
Pb1 Pb 0.000 0.000 0.000
# V ... 12.556 Å³/atom
# Uncorrected energy ... -7.17 eV per atom
# Magnetic moment ... 0.06 μB per formula unit